Entry 1:
Ce2PaGe2: optimized geometry, GGA-PBE.

Output
Calculated total energy   -6.66 eV/atom
Formation energy   -0.54 eV per atom

Lattice parameters (Å, degrees): 4.0130 7.7530 7.7530 90.00 90.00 90.00
Closest atoms and distances in Å follow each position.
Element x y z (fractional)
Ge1 0.0000 0.8770 0.6230  1 Ge 2.70, 2 Ce 2.97
Ge2 0.0000 0.3770 0.8770  1 Ge 2.70, 2 Ce 2.97
Ge3 0.0000 0.1230 0.3770  1 Ge 2.70, 2 Ce 2.97
Ge4 0.0000 0.6230 0.1230  1 Ge 2.70, 2 Ce 2.97
Ce1 0.5000 0.8224 0.3224  6 Ge 2.97-3.10
Ce2 0.5000 0.6776 0.8224  6 Ge 2.97-3.10
Ce3 0.5000 0.3224 0.1776  6 Ge 2.97-3.10
Ce4 0.5000 0.1776 0.6776  6 Ge 2.97-3.10
Pa1 0.0000 0.0000 0.0000  4 Ge 3.07
Pa2 0.0000 0.5000 0.5000  4 Ge 3.07

***

Entry 2:
CePa2Ge: optimized geometry, GGA-PBE.

Output
Calculated total energy   -7.36 eV/atom
Formation energy   0.03 eV per atom

Lattice parameters (Å, degrees): 3.1067 3.1067 11.1849 82.02 82.02 60.00
Closest atoms and distances in Å follow each position.
Element x y z (fractional)
Ge1 0.5000 0.5000 0.5000  6 Ge 3.11, 6 Pa 3.11
Pa1 0.0900 0.0900 0.7300  1 Ce 2.98, 6 Pa 3.11, 3 Ge 3.11
Pa2 0.9100 0.9100 0.2700  1 Ce 2.98, 6 Pa 3.11, 3 Ge 3.11
Ce1 0.0000 0.0000 0.0000  2 Pa 2.98, 6 Ce 3.11

***

Entry 3:
Ce2PaGe: optimized geometry, GGA-PBE.

Output
Calculated total energy   -6.73 eV/atom
Formation energy   -0.24 eV per atom

Lattice parameters (Å, degrees): 3.8415 3.8415 6.5813 90.00 90.00 90.00
Closest atoms and distances in Å follow each position.
Element x y z (fractional)
Ge1 0.5000 0.5000 0.5000  8 Ce 3.11, 2 Pa 3.29
Pa1 0.5000 0.5000 0.0000  8 Ce 3.25, 2 Ge 3.29
Ce1 0.0000 0.0000 0.2707  1 Ce 3.02, 4 Ge 3.11, 4 Pa 3.25
Ce2 0.0000 0.0000 0.7293  1 Ce 3.02, 4 Ge 3.11, 4 Pa 3.25

***

Entry 4:
CePmPaGe: optimized geometry, GGA-PBE.

Output
Calculated total energy   -6.14 eV/atom
Formation energy   0.06 eV per atom

Lattice parameters (Å, degrees): 5.2418 5.2418 5.2418 60.00 60.00 60.00
Closest atoms and distances in Å follow each position.
Element x y z (fractional)
Ce1 0.0000 0.0000 0.0000  4 Ge 3.21, 4 Pa 3.21
Ge1 0.2500 0.2500 0.2500  4 Ce 3.21, 4 Pm 3.21
Pa1 0.7500 0.7500 0.7500  4 Ce 3.21, 4 Pm 3.21
Pm1 0.5000 0.5000 0.5000  4 Ge 3.21, 4 Pa 3.21

***

Entry 5:
Ce2PaGe3Pt4: optimized geometry, GGA-PBE.

Output
Calculated total energy   -6.79 eV/atom
Formation energy   -0.85 eV per atom

Lattice parameters (Å, degrees): 4.3390 4.3390 11.0671 90.00 90.00 90.00
Closest atoms and distances in Å follow each position.
Element x y z (fractional)
Ge1 0.0000 0.0000 0.5000  4 Pt 2.78, 4 Pa 3.07
Ge2 0.0000 0.5000 0.1204  5 Pt 2.46-2.55
Ge3 0.5000 0.0000 0.8796  5 Pt 2.46-2.55
Ce1 0.5000 0.0000 0.2258  4 Ge 3.28, 8 Pt 3.31-3.33
Ce2 0.0000 0.5000 0.7742  4 Ge 3.28, 8 Pt 3.31-3.33
Pt1 0.0000 0.0000 0.0000  4 Ge 2.55
Pt2 0.0000 0.5000 0.3425  1 Ge 2.46
Pt3 0.5000 0.5000 0.0000  4 Ge 2.55
Pt4 0.5000 0.0000 0.6575  1 Ge 2.46
Pa1 0.5000 0.5000 0.5000  4 Pt 2.78, 4 Ge 3.07

***

Entry 6:
CeSmPaGe: optimized geometry, GGA-PBE.

Output
Calculated total energy   -6.13 eV/atom
Formation energy   0.06 eV per atom

Lattice parameters (Å, degrees): 5.2312 5.2312 5.2312 60.00 60.00 60.00
Closest atoms and distances in Å follow each position.
Element x y z (fractional)
Sm1 0.5000 0.5000 0.5000  4 Ge 3.20, 4 Pa 3.20
Pa1 0.7500 0.7500 0.7500  4 Ce 3.20, 4 Sm 3.20
Ce1 0.0000 0.0000 0.0000  4 Pa 3.20, 4 Ge 3.20
Ge1 0.2500 0.2500 0.2500  4 Ce 3.20, 4 Sm 3.20